[1]
Entry from the Alexandria database: crystalline Sc2BeRe at its relaxed geometry (PBE-GGA).

## Properties
The value obtained for the total magnetic moment is 0.00 μB per formula unit. The formation enthalpy at 0 K is -0.0267 eV/atom.

The structure in CIF format:
```
data_Sc2BeRe
_space_group_name_H-M_alt 'A m m 2'
_space_group_IT_number 38
_cell_length_a 3.9871
_cell_length_b 3.5682
_cell_length_c 10.0464
_cell_angle_alpha 90.00
_cell_angle_beta 90.00
_cell_angle_gamma 90.00
loop_
_space_group_symop_operation_xyz
'x,y,z'
'-x,-y,z'
'-x,y,z'
'x,-y,z'
'x,y+1/2,z+1/2'
'-x,-y+1/2,z+1/2'
'-x,y+1/2,z+1/2'
'x,-y+1/2,z+1/2'
loop_
_atom_site_label
_atom_site_type_symbol
_atom_site_fract_x
_atom_site_fract_y
_atom_site_fract_z
Sc1 Sc 0.0000 0.0000 0.0000
Sc2 Sc 0.5000 0.0000 0.2932
Be1 Be 0.5000 0.0000 0.5890
Re1 Re 0.0000 0.0000 0.7072
```



[2]
Entry from the Alexandria database: crystalline PmScBiPd at its relaxed geometry (PBE-GGA).

## Properties
The value obtained for the total magnetic moment is 1.01 μB per formula unit. The formation enthalpy at 0 K is -0.5961 eV/atom.

The structure in CIF format:
```
data_PmScBiPd
_space_group_name_H-M_alt 'F -4 3 m'
_space_group_IT_number 216
_space_group_name_Hall 'F -4 2 3'
_cell_length_a 7.3018
_cell_length_b 7.3018
_cell_length_c 7.3018
_cell_angle_alpha 90.00
_cell_angle_beta 90.00
_cell_angle_gamma 90.00
loop_
_atom_site_label
_atom_site_type_symbol
_atom_site_fract_x
_atom_site_fract_y
_atom_site_fract_z
Pm1 Pm 0.0000 0.0000 0.0000
Sc1 Sc 0.0000 0.0000 0.5000
Bi1 Bi 0.2500 0.2500 0.7500
Pd1 Pd 0.2500 0.2500 0.2500
```



[3]
Entry from the Alexandria database: crystalline HfMnPt5 at its relaxed geometry (PBE-GGA).

## Properties
The value obtained for the total magnetic moment is 3.86 μB per formula unit. The formation enthalpy at 0 K is -0.5463 eV/atom.

The structure in CIF format:
```
data_HfMnPt5
_space_group_name_H-M_alt 'P 4/m m m'
_space_group_IT_number 123
_space_group_name_Hall '-P 4 2'
_cell_length_a 3.8829
_cell_length_b 3.8829
_cell_length_c 7.9926
_cell_angle_alpha 90.00
_cell_angle_beta 90.00
_cell_angle_gamma 90.00
loop_
_atom_site_label
_atom_site_type_symbol
_atom_site_fract_x
_atom_site_fract_y
_atom_site_fract_z
Hf1 Hf 0.0000 0.0000 0.0000
Mn1 Mn 0.5000 0.5000 0.5000
Pt1 Pt 0.0000 0.0000 0.5000
Pt2 Pt 0.0000 0.5000 0.2443
```



[4]
Entry from the Alexandria database: crystalline Yb3Sb5O12 at its relaxed geometry (PBE-GGA).

## Properties
As for the total energy: -6.14 eV per atom. The value obtained for the total magnetic moment is 1.23 μB per formula unit.

The structure in CIF format:
```
data_Yb3Sb5O12
_space_group_name_H-M_alt 'I m -3 m'
_space_group_IT_number 229
_space_group_name_Hall '-I 4 2 3'
_cell_length_a 10.6539
_cell_length_b 10.6539
_cell_length_c 10.6539
_cell_angle_alpha 90.00
_cell_angle_beta 90.00
_cell_angle_gamma 90.00
loop_
_atom_site_label
_atom_site_type_symbol
_atom_site_fract_x
_atom_site_fract_y
_atom_site_fract_z
Yb1 Yb 0.0000 0.2500 0.5000
Sb1 Sb 0.0000 0.0000 0.2604
Sb2 Sb 0.2500 0.2500 0.2500
O1 O 0.1233 0.1233 0.3490
```



[5]
Entry from the Alexandria database: crystalline KCd3Sn at its relaxed geometry (PBE-GGA).

## Properties
The value obtained for the total magnetic moment is 0.00 μB per formula unit. The value obtained for the polymorph energy (0 for the lowest one) is 0.000 eV per atom. The formation enthalpy at 0 K is -0.1061 eV/atom.

The structure in CIF format:
```
data_KCd3Sn
_space_group_name_H-M_alt 'I 4 m m'
_space_group_IT_number 107
_space_group_name_Hall 'I 4 -2'
_cell_length_a 4.8092
_cell_length_b 4.8092
_cell_length_c 12.7178
_cell_angle_alpha 90.00
_cell_angle_beta 90.00
_cell_angle_gamma 90.00
loop_
_atom_site_label
_atom_site_type_symbol
_atom_site_fract_x
_atom_site_fract_y
_atom_site_fract_z
K1 K 0.0000 0.0000 0.0000
Cd1 Cd 0.0000 0.0000 0.3878
Cd2 Cd 0.0000 0.5000 0.2503
Sn1 Sn 0.0000 0.0000 0.6165
```



[6]
Entry from the Alexandria database: crystalline SiBF at its relaxed geometry (PBE-GGA).

## Properties
The value obtained for the total magnetic moment is 0.00 μB per formula unit. The value obtained for the polymorph energy (0 for the lowest one) is 0.023 eV per atom.

The structure in CIF format:
```
data_SiBF
_space_group_name_H-M_alt 'C 1 2 1'
_space_group_IT_number 5
_cell_length_a 7.1516
_cell_length_b 5.3606
_cell_length_c 5.5260
_cell_angle_alpha 90.00
_cell_angle_beta 126.40
_cell_angle_gamma 90.00
loop_
_space_group_symop_operation_xyz
'x,y,z'
'-x,y,-z'
'x+1/2,y+1/2,z'
'-x+1/2,y+1/2,-z'
loop_
_atom_site_label
_atom_site_type_symbol
_atom_site_fract_x
_atom_site_fract_y
_atom_site_fract_z
Si1 Si 0.1772 0.0000 0.2532
B1 B 0.1135 0.2059 0.5044
F1 F 0.1658 0.6781 0.8131
```



[7]
Entry from the Alexandria database: crystalline P2OsRhO at its relaxed geometry (PBE-GGA).

## Properties
The value obtained for the total magnetic moment is 0.00 μB per formula unit. The value obtained for the polymorph energy (0 for the lowest one) is 0.522 eV per atom.

The structure in CIF format:
```
data_P2OsRhO
_space_group_name_H-M_alt 'P 4/m m m'
_space_group_IT_number 123
_space_group_name_Hall '-P 4 2'
_cell_length_a 4.6939
_cell_length_b 4.6939
_cell_length_c 3.5406
_cell_angle_alpha 90.00
_cell_angle_beta 90.00
_cell_angle_gamma 90.00
loop_
_atom_site_label
_atom_site_type_symbol
_atom_site_fract_x
_atom_site_fract_y
_atom_site_fract_z
P1 P 0.0000 0.5000 0.0000
Os1 Os 0.0000 0.0000 0.5000
Rh1 Rh 0.5000 0.5000 0.0000
O1 O 0.5000 0.5000 0.5000
```



[8]
Entry from the Alexandria database: crystalline Tl2Cd5Hg3 at its relaxed geometry (PBE-GGA).

## Properties
The value obtained for the total magnetic moment is 0.00 μB per formula unit. The value obtained for the polymorph energy (0 for the lowest one) is 0.000 eV per atom. The formation enthalpy at 0 K is 0.0108 eV/atom.

The structure in CIF format:
```
data_Tl2Cd5Hg3
_space_group_name_H-M_alt 'C 1 2/c 1'
_space_group_IT_number 15
_cell_length_a 11.3717
_cell_length_b 13.6929
_cell_length_c 6.6987
_cell_angle_alpha 90.00
_cell_angle_beta 97.02
_cell_angle_gamma 90.00
loop_
_space_group_symop_operation_xyz
'x,y,z'
'-x,-y,-z'
'-x,y,-z+1/2'
'x,-y,z+1/2'
'x+1/2,y+1/2,z'
'-x+1/2,-y+1/2,-z'
'-x+1/2,y+1/2,-z+1/2'
'x+1/2,-y+1/2,z+1/2'
loop_
_atom_site_label
_atom_site_type_symbol
_atom_site_fract_x
_atom_site_fract_y
_atom_site_fract_z
Tl1 Tl 0.1163 0.2300 0.1016
Cd1 Cd 0.0000 0.0161 0.2500
Cd2 Cd 0.1153 0.3543 0.6512
Cd3 Cd 0.2335 0.4581 0.0306
Hg1 Hg 0.0000 0.4419 0.2500
Hg2 Hg 0.1517 0.1449 0.5907
```